# TbSm4Se4 (GGA-PBE, optimized geometry)
# VASP energy (eV per atom): -5.327
# Volume (Å³ per cell): 291.66
# Energy above the lowest structure with this stoichiometry (kJ/mol of atoms): 38.8
# Formation energy without anion corrections (eV/atom): -1.167
# Spin magnetization (μB per formula unit): 0.00
data_TbSm4Se4
_chemical_formula_sum 'Tb1 Sm4 Se4'
_cell_length_a 7.820
_cell_length_b 7.820
_cell_length_c 7.820
_cell_angle_alpha 127.55
_cell_angle_beta 127.55
_cell_angle_gamma 77.36
_symmetry_space_group_name_H-M 'P 1'
_symmetry_Int_Tables_number 1
loop_
_symmetry_equiv_pos_as_xyz
'x,y,z'
loop_
_atom_site_label
_atom_site_type_symbol
_atom_site_fract_x
_atom_site_fract_y
_atom_site_fract_z
Tb1 Tb 0.000 0.000 0.000
Sm1 Sm 0.000 0.500 0.500
Sm2 Sm 0.302 0.302 0.000
Sm3 Sm 0.500 0.000 0.500
Sm4 Sm 0.698 0.698 0.000
Se1 Se 0.085 0.642 0.000
Se2 Se 0.358 0.358 0.443
Se3 Se 0.642 0.085 0.000
Se4 Se 0.915 0.915 0.557



# TbSm2Se (GGA-PBE, optimized geometry)
# VASP energy (eV per atom): -5.190
# Volume (Å³ per cell): 123.97
# Energy above the lowest structure with this stoichiometry (kJ/mol of atoms): 0.0
# Formation energy without anion corrections (eV/atom): -0.802
# Spin magnetization (μB per formula unit): 0.64
data_TbSm2Se
_chemical_formula_sum 'Tb1 Sm2 Se1'
_cell_length_a 9.802
_cell_length_b 9.802
_cell_length_c 9.802
_cell_angle_alpha 22.79
_cell_angle_beta 22.79
_cell_angle_gamma 22.79
_symmetry_space_group_name_H-M 'P 1'
_symmetry_Int_Tables_number 1
loop_
_symmetry_equiv_pos_as_xyz
'x,y,z'
loop_
_atom_site_label
_atom_site_type_symbol
_atom_site_fract_x
_atom_site_fract_y
_atom_site_fract_z
Tb1 Tb 0.000 0.000 0.000
Sm1 Sm 0.232 0.232 0.232
Sm2 Sm 0.434 0.434 0.434
Se1 Se 0.833 0.833 0.833



# TbSmSe (GGA-PBE, optimized geometry)
# VASP energy (eV per atom): -5.285
# Volume (Å³ per cell): 352.95
# Energy above the lowest structure with this stoichiometry (kJ/mol of atoms): 10.4
# Formation energy without anion corrections (eV/atom): -1.007
# Spin magnetization (μB per formula unit): 0.00
data_TbSmSe
_chemical_formula_sum 'Tb4 Sm4 Se4'
_cell_length_a 6.937
_cell_length_b 6.937
_cell_length_c 7.577
_cell_angle_alpha 90.00
_cell_angle_beta 90.00
_cell_angle_gamma 104.53
_symmetry_space_group_name_H-M 'P 1'
_symmetry_Int_Tables_number 1
loop_
_symmetry_equiv_pos_as_xyz
'x,y,z'
loop_
_atom_site_label
_atom_site_type_symbol
_atom_site_fract_x
_atom_site_fract_y
_atom_site_fract_z
Tb1 Tb 0.202 0.798 0.835
Tb2 Tb 0.298 0.702 0.335
Tb3 Tb 0.702 0.298 0.665
Tb4 Tb 0.798 0.202 0.165
Sm1 Sm 0.201 0.201 0.500
Sm2 Sm 0.299 0.299 0.000
Sm3 Sm 0.701 0.701 0.000
Sm4 Sm 0.799 0.799 0.500
Se1 Se 0.064 0.936 0.196
Se2 Se 0.436 0.564 0.696
Se3 Se 0.564 0.436 0.304
Se4 Se 0.936 0.064 0.804



# TbSmSe (GGA-PBE, optimized geometry)
# VASP energy (eV per atom): -5.232
# Volume (Å³ per cell): 82.81
# Energy above the lowest structure with this stoichiometry (kJ/mol of atoms): 15.5
# Formation energy without anion corrections (eV/atom): -0.954
# Spin magnetization (μB per formula unit): 0.00
data_TbSmSe
_chemical_formula_sum 'Tb1 Sm1 Se1'
_cell_length_a 6.798
_cell_length_b 6.798
_cell_length_c 6.798
_cell_angle_alpha 149.05
_cell_angle_beta 149.05
_cell_angle_gamma 44.33
_symmetry_space_group_name_H-M 'P 1'
_symmetry_Int_Tables_number 1
loop_
_symmetry_equiv_pos_as_xyz
'x,y,z'
loop_
_atom_site_label
_atom_site_type_symbol
_atom_site_fract_x
_atom_site_fract_y
_atom_site_fract_z
Tb1 Tb 0.000 0.000 0.000
Sm1 Sm 0.286 0.286 0.000
Se1 Se 0.639 0.639 0.000



# Tb2SmSe3 (GGA-PBE, optimized geometry)
# VASP energy (eV per atom): -5.858
# Volume (Å³ per cell): 148.51
# Formation energy without anion corrections (eV/atom): -1.786
# Spin magnetization (μB per formula unit): 0.00
data_Tb2SmSe3
_chemical_formula_sum 'Tb2 Sm1 Se3'
_cell_length_a 7.131
_cell_length_b 7.131
_cell_length_c 7.131
_cell_angle_alpha 146.28
_cell_angle_beta 131.88
_cell_angle_gamma 60.04
_symmetry_space_group_name_H-M 'P 1'
_symmetry_Int_Tables_number 1
loop_
_symmetry_equiv_pos_as_xyz
'x,y,z'
loop_
_atom_site_label
_atom_site_type_symbol
_atom_site_fract_x
_atom_site_fract_y
_atom_site_fract_z
Tb1 Tb 0.163 0.163 0.000
Tb2 Tb 0.837 0.837 0.000
Sm1 Sm 0.500 0.500 0.000
Se1 Se 0.000 0.500 0.500
Se2 Se 0.328 0.828 0.500
Se3 Se 0.672 0.172 0.500



# TbSm2Se (GGA-PBE, optimized geometry)
# VASP energy (eV per atom): -5.171
# Volume (Å³ per cell): 123.68
# Energy above the lowest structure with this stoichiometry (kJ/mol of atoms): 1.9
# Formation energy without anion corrections (eV/atom): -0.782
# Spin magnetization (μB per formula unit): 0.00
data_TbSm2Se
_chemical_formula_sum 'Tb1 Sm2 Se1'
_cell_length_a 9.959
_cell_length_b 9.959
_cell_length_c 9.959
_cell_angle_alpha 22.20
_cell_angle_beta 22.20
_cell_angle_gamma 22.20
_symmetry_space_group_name_H-M 'P 1'
_symmetry_Int_Tables_number 1
loop_
_symmetry_equiv_pos_as_xyz
'x,y,z'
loop_
_atom_site_label
_atom_site_type_symbol
_atom_site_fract_x
_atom_site_fract_y
_atom_site_fract_z
Tb1 Tb 0.000 0.000 0.000
Sm1 Sm 0.233 0.233 0.233
Sm2 Sm 0.767 0.767 0.767
Se1 Se 0.500 0.500 0.500



# Tb2Sm2Se5 (GGA-PBE, optimized geometry)
# VASP energy (eV per atom): -5.775
# Volume (Å³ per cell): 443.92
# Formation energy without anion corrections (eV/atom): -1.762
# Spin magnetization (μB per formula unit): 0.00
data_Tb2Sm2Se5
_chemical_formula_sum 'Tb4 Sm4 Se10'
_cell_length_a 8.346
_cell_length_b 8.346
_cell_length_c 7.747
_cell_angle_alpha 90.00
_cell_angle_beta 90.00
_cell_angle_gamma 55.36
_symmetry_space_group_name_H-M 'P 1'
_symmetry_Int_Tables_number 1
loop_
_symmetry_equiv_pos_as_xyz
'x,y,z'
loop_
_atom_site_label
_atom_site_type_symbol
_atom_site_fract_x
_atom_site_fract_y
_atom_site_fract_z
Tb1 Tb 0.151 0.849 0.844
Tb2 Tb 0.349 0.651 0.344
Tb3 Tb 0.651 0.349 0.656
Tb4 Tb 0.849 0.151 0.156
Sm1 Sm 0.197 0.197 0.500
Sm2 Sm 0.303 0.303 0.000
Sm3 Sm 0.697 0.697 0.000
Sm4 Sm 0.803 0.803 0.500
Se1 Se 0.000 0.000 0.500
Se2 Se 0.021 0.704 0.154
Se3 Se 0.204 0.521 0.654
Se4 Se 0.296 0.979 0.154
Se5 Se 0.479 0.796 0.654
Se6 Se 0.500 0.500 0.000
Se7 Se 0.521 0.204 0.346
Se8 Se 0.704 0.021 0.846
Se9 Se 0.796 0.479 0.346
Se10 Se 0.979 0.296 0.846



# TbSm6Se8 (GGA-PBE, optimized geometry)
# VASP energy (eV per atom): -5.923
# Volume (Å³ per cell): 405.97
# Formation energy without anion corrections (eV/atom): -1.868
# Spin magnetization (μB per formula unit): 0.00
data_TbSm6Se8
_chemical_formula_sum 'Tb1 Sm6 Se8'
_cell_length_a 8.311
_cell_length_b 8.311
_cell_length_c 8.311
_cell_angle_alpha 60.00
_cell_angle_beta 60.00
_cell_angle_gamma 60.00
_symmetry_space_group_name_H-M 'P 1'
_symmetry_Int_Tables_number 1
loop_
_symmetry_equiv_pos_as_xyz
'x,y,z'
loop_
_atom_site_label
_atom_site_type_symbol
_atom_site_fract_x
_atom_site_fract_y
_atom_site_fract_z
Tb1 Tb 0.000 0.000 0.000
Sm1 Sm 0.000 0.000 0.500
Sm2 Sm 0.000 0.500 0.000
Sm3 Sm 0.000 0.500 0.500
Sm4 Sm 0.500 0.000 0.000
Sm5 Sm 0.500 0.000 0.500
Sm6 Sm 0.500 0.500 0.000
Se1 Se 0.250 0.250 0.250
Se2 Se 0.250 0.250 0.750
Se3 Se 0.250 0.750 0.250
Se4 Se 0.250 0.750 0.750
Se5 Se 0.750 0.250 0.250
Se6 Se 0.750 0.250 0.750
Se7 Se 0.750 0.750 0.250
Se8 Se 0.750 0.750 0.750



# Tb2Sm3Se6 (GGA-PBE, optimized geometry)
# VASP energy (eV per atom): -5.910
# Volume (Å³ per cell): 296.61
# Energy above the lowest structure with this stoichiometry (kJ/mol of atoms): 0.0
# Formation energy without anion corrections (eV/atom): -1.880
# Spin magnetization (μB per formula unit): 0.00
data_Tb2Sm3Se6
_chemical_formula_sum 'Tb2 Sm3 Se6'
_cell_length_a 7.138
_cell_length_b 7.138
_cell_length_c 7.118
_cell_angle_alpha 99.64
_cell_angle_beta 99.64
_cell_angle_gamma 119.81
_symmetry_space_group_name_H-M 'P 1'
_symmetry_Int_Tables_number 1
loop_
_symmetry_equiv_pos_as_xyz
'x,y,z'
loop_
_atom_site_label
_atom_site_type_symbol
_atom_site_fract_x
_atom_site_fract_y
_atom_site_fract_z
Tb1 Tb 0.165 0.835 0.000
Tb2 Tb 0.835 0.165 0.000
Sm1 Sm 0.000 0.000 0.500
Sm2 Sm 0.336 0.664 0.500
Sm3 Sm 0.664 0.336 0.500
Se1 Se 0.089 0.419 0.758
Se2 Se 0.251 0.251 0.238
Se3 Se 0.419 0.089 0.758
Se4 Se 0.581 0.911 0.242
Se5 Se 0.749 0.749 0.762
Se6 Se 0.911 0.581 0.242



# TbSm2Se (GGA-PBE, optimized geometry)
# VASP energy (eV per atom): -5.078
# Volume (Å³ per cell): 115.62
# Energy above the lowest structure with this stoichiometry (kJ/mol of atoms): 10.8
# Formation energy without anion corrections (eV/atom): -0.690
# Spin magnetization (μB per formula unit): 0.00
data_TbSm2Se
_chemical_formula_sum 'Tb1 Sm2 Se1'
_cell_length_a 3.671
_cell_length_b 3.671
_cell_length_c 8.581
_cell_angle_alpha 90.00
_cell_angle_beta 90.00
_cell_angle_gamma 90.00
_symmetry_space_group_name_H-M 'P 1'
_symmetry_Int_Tables_number 1
loop_
_symmetry_equiv_pos_as_xyz
'x,y,z'
loop_
_atom_site_label
_atom_site_type_symbol
_atom_site_fract_x
_atom_site_fract_y
_atom_site_fract_z
Tb1 Tb 0.000 0.000 0.000
Sm1 Sm 0.500 0.500 0.292
Sm2 Sm 0.500 0.500 0.708
Se1 Se 0.000 0.000 0.500



# Tb2Sm2Se3 (GGA-PBE, optimized geometry)
# VASP energy (eV per atom): -5.609
# Volume (Å³ per cell): 193.17
# Formation energy without anion corrections (eV/atom): -1.444
# Spin magnetization (μB per formula unit): 0.38
data_Tb2Sm2Se3
_chemical_formula_sum 'Tb2 Sm2 Se3'
_cell_length_a 8.032
_cell_length_b 8.032
_cell_length_c 6.161
_cell_angle_alpha 92.72
_cell_angle_beta 92.72
_cell_angle_gamma 29.12
_symmetry_space_group_name_H-M 'P 1'
_symmetry_Int_Tables_number 1
loop_
_symmetry_equiv_pos_as_xyz
'x,y,z'
loop_
_atom_site_label
_atom_site_type_symbol
_atom_site_fract_x
_atom_site_fract_y
_atom_site_fract_z
Tb1 Tb 0.065 0.065 0.231
Tb2 Tb 0.935 0.935 0.769
Sm1 Sm 0.337 0.337 0.245
Sm2 Sm 0.663 0.663 0.755
Se1 Se 0.300 0.300 0.760
Se2 Se 0.500 0.500 0.500
Se3 Se 0.700 0.700 0.240



# Tb5Sm3Se12 (GGA-PBE, optimized geometry)
# VASP energy (eV per atom): -5.643
# Volume (Å³ per cell): 2447.67
# Formation energy without anion corrections (eV/atom): -1.687
# Spin magnetization (μB per formula unit): 0.00
data_Tb5Sm3Se12
_chemical_formula_sum 'Tb20 Sm12 Se48'
_cell_length_a 14.705
_cell_length_b 14.705
_cell_length_c 14.705
_cell_angle_alpha 109.47
_cell_angle_beta 109.47
_cell_angle_gamma 109.47
_symmetry_space_group_name_H-M 'P 1'
_symmetry_Int_Tables_number 1
loop_
_symmetry_equiv_pos_as_xyz
'x,y,z'
loop_
_atom_site_label
_atom_site_type_symbol
_atom_site_fract_x
_atom_site_fract_y
_atom_site_fract_z
Tb1 Tb 0.000 0.000 0.000
Tb2 Tb 0.000 0.000 0.500
Tb3 Tb 0.000 0.500 0.000
Tb4 Tb 0.000 0.500 0.500
Tb5 Tb 0.125 0.750 0.875
Tb6 Tb 0.125 0.875 0.250
Tb7 Tb 0.250 0.125 0.875
Tb8 Tb 0.250 0.625 0.375
Tb9 Tb 0.375 0.250 0.625
Tb10 Tb 0.375 0.625 0.750
Tb11 Tb 0.500 0.000 0.000
Tb12 Tb 0.500 0.000 0.500
Tb13 Tb 0.500 0.500 0.000
Tb14 Tb 0.500 0.500 0.500
Tb15 Tb 0.625 0.375 0.250
Tb16 Tb 0.625 0.750 0.375
Tb17 Tb 0.750 0.375 0.625
Tb18 Tb 0.750 0.875 0.125
Tb19 Tb 0.875 0.125 0.750
Tb20 Tb 0.875 0.250 0.125
Sm1 Sm 0.125 0.250 0.375
Sm2 Sm 0.125 0.375 0.750
Sm3 Sm 0.250 0.375 0.125
Sm4 Sm 0.250 0.875 0.625
Sm5 Sm 0.375 0.125 0.250
Sm6 Sm 0.375 0.750 0.125
Sm7 Sm 0.625 0.250 0.875
Sm8 Sm 0.625 0.875 0.750
Sm9 Sm 0.750 0.125 0.375
Sm10 Sm 0.750 0.625 0.875
Sm11 Sm 0.875 0.625 0.250
Sm12 Sm 0.875 0.750 0.625
Se1 Se 0.049 0.223 0.130
Se2 Se 0.049 0.326 0.918
Se3 Se 0.082 0.630 0.407
Se4 Se 0.082 0.951 0.674
Se5 Se 0.093 0.723 0.674
Se6 Se 0.093 0.870 0.418
Se7 Se 0.130 0.049 0.223
Se8 Se 0.130 0.582 0.907
Se9 Se 0.174 0.223 0.593
Se10 Se 0.174 0.451 0.582
Se11 Se 0.223 0.130 0.049
Se12 Se 0.223 0.593 0.174
Se13 Se 0.277 0.326 0.907
Se14 Se 0.277 0.451 0.370
Se15 Se 0.326 0.907 0.277
Se16 Se 0.326 0.918 0.049
Se17 Se 0.370 0.277 0.451
Se18 Se 0.370 0.593 0.918
Se19 Se 0.407 0.082 0.630
Se20 Se 0.407 0.826 0.777
Se21 Se 0.418 0.093 0.870
Se22 Se 0.418 0.826 0.549
Se23 Se 0.451 0.370 0.277
Se24 Se 0.451 0.582 0.174
Se25 Se 0.549 0.418 0.826
Se26 Se 0.549 0.630 0.723
Se27 Se 0.582 0.174 0.451
Se28 Se 0.582 0.907 0.130
Se29 Se 0.593 0.174 0.223
Se30 Se 0.593 0.918 0.370
Se31 Se 0.630 0.407 0.082
Se32 Se 0.630 0.723 0.549
Se33 Se 0.674 0.082 0.951
Se34 Se 0.674 0.093 0.723
Se35 Se 0.723 0.549 0.630
Se36 Se 0.723 0.674 0.093
Se37 Se 0.777 0.407 0.826
Se38 Se 0.777 0.870 0.951
Se39 Se 0.826 0.549 0.418
Se40 Se 0.826 0.777 0.407
Se41 Se 0.870 0.418 0.093
Se42 Se 0.870 0.951 0.777
Se43 Se 0.907 0.130 0.582
Se44 Se 0.907 0.277 0.326
Se45 Se 0.918 0.049 0.326
Se46 Se 0.918 0.370 0.593
Se47 Se 0.951 0.674 0.082
Se48 Se 0.951 0.777 0.870